[1]
BaMgFe2 | PBE-GGA | relaxed

Structure (POSCAR):
```
BaMgFe2
1.0
-2.505 2.505 3.582
2.505 -2.505 3.582
2.505 2.505 -3.582
Ba Mg Fe
1 1 2
Direct
0.000 0.000 0.000
0.750 0.250 0.500
0.250 0.750 0.500
0.500 0.500 0.000
```

- Total moment: 5.62 μB/f.u.
- Calculated formation energy: 0.84 eV per atom
- Energy relative to the lowest polymorph listed for this composition: 0.469 eV/atom
- Fermi-level density of states: 0.674 states/eV per atom
- Uncorrected energy: -17.1 eV/cell

---

[2]
BaMgFe4 | PBE-GGA | relaxed

Structure (POSCAR):
```
BaMgFe4
1.0
0.000 3.729 3.729
3.729 0.000 3.729
3.729 3.729 0.000
Ba Mg Fe
1 1 4
Direct
0.000 0.000 0.000
0.250 0.250 0.250
0.141 0.620 0.620
0.620 0.141 0.620
0.620 0.620 0.141
0.620 0.620 0.620
```

- Total moment: 9.83 μB/f.u.
- Calculated formation energy: 0.46 eV per atom
- Fermi-level density of states: 0.839 states/eV per atom
- Uncorrected energy: -34.6 eV/cell

---

[3]
BaMg14Fe | PBE-GGA | relaxed

Structure (POSCAR):
```
BaMg14Fe
1.0
6.529 0.000 0.000
-3.264 5.654 0.000
0.000 0.000 10.425
Ba Mg Fe
1 14 1
Direct
0.000 0.000 0.000
0.017 0.508 0.000
0.164 0.328 0.277
0.164 0.328 0.723
0.164 0.836 0.277
0.164 0.836 0.723
0.492 0.508 0.000
0.492 0.983 0.000
0.506 0.013 0.500
0.506 0.494 0.500
0.667 0.333 0.237
0.667 0.333 0.763
0.672 0.836 0.277
0.672 0.836 0.723
0.987 0.494 0.500
0.000 0.000 0.500
```

- Total moment: 2.93 μB/f.u.
- Calculated formation energy: 0.15 eV per atom
- Energy relative to the lowest polymorph listed for this composition: 0.009 eV/atom
- Fermi-level density of states: 0.600 states/eV per atom
- Uncorrected energy: -30.3 eV/cell